VASP calculation (PBE) on an optimized crystal structure of Tb2Y4Er5.

Cell: 3.497 8.980 12.516 Å, 111.02 98.03 90.00°
Positions (direct):
Tb 0.268 0.268 0.536
Tb 0.732 0.732 0.464
Y 0.000 0.308 0.000
Y 0.598 0.598 0.197
Y 0.000 0.692 0.000
Y 0.402 0.402 0.803
Er 0.856 0.052 0.711
Er 0.856 0.660 0.711
Er 0.144 0.340 0.289
Er 0.144 0.948 0.289
Er 0.500 0.000 0.000

Energy above the lowest structure with this stoichiometry ... 202.6 meV per atom
Energy of formation ... 0.257 eV per atom
Crystal system ... orthorhombic
Fermi-level density of states ... 1.569 states/eV per atom
Space group ... Immm, No. 71



VASP calculation (PBE) on an optimized crystal structure of NaAc5Ag4.

Cell: 3.952 3.952 21.273 Å, 90.00 90.00 90.00°
Positions (direct):
Na 0.000 0.000 0.000
Ac 0.500 0.500 0.128
Ac 0.500 0.500 0.313
Ac 0.500 0.500 0.500
Ac 0.500 0.500 0.687
Ac 0.500 0.500 0.872
Ag 0.000 0.000 0.216
Ag 0.000 0.000 0.407
Ag 0.000 0.000 0.593
Ag 0.000 0.000 0.784

Energy of formation ... -0.167 eV per atom
Crystal system ... tetragonal
Fermi-level density of states ... 0.789 states/eV per atom
Space group ... P4/mmm, No. 123



VASP calculation (PBE) on an optimized crystal structure of Ac3La6Y2.

Cell: 6.556 8.414 15.598 Å, 49.62 60.57 97.56°
Positions (direct):
Ac 0.000 0.000 0.000
Ac 0.540 0.822 0.365
Ac 0.460 0.178 0.635
La 0.083 0.631 0.732
La 0.723 0.082 0.823
La 0.917 0.369 0.268
La 0.277 0.918 0.177
La 0.816 0.734 0.547
La 0.184 0.266 0.453
Y 0.634 0.453 0.089
Y 0.366 0.547 0.911

Energy of formation ... 0.029 eV per atom
Crystal system ... triclinic
Fermi-level density of states ... 1.942 states/eV per atom
Space group ... P-1, No. 2



VASP calculation (PBE) on an optimized crystal structure of Al8Ge2Os.

Cell: 4.046 7.494 7.376 Å, 120.55 105.92 90.00°
Positions (direct):
Al 0.661 0.906 0.321
Al 0.339 0.585 0.679
Al 0.175 0.175 0.350
Al 0.000 0.227 0.000
Al 0.825 0.825 0.650
Al 0.661 0.415 0.321
Al 0.339 0.094 0.679
Al 0.000 0.773 0.000
Ge 0.132 0.632 0.264
Ge 0.868 0.368 0.736
Os 0.500 0.000 0.000

Energy of formation ... -0.057 eV per atom
Crystal system ... orthorhombic
Fermi-level density of states ... 0.291 states/eV per atom
Space group ... Immm, No. 71



VASP calculation (PBE) on an optimized crystal structure of LaGa2HRu2.

Cell: 4.212 4.212 5.380 Å, 90.00 90.00 90.00°
Positions (direct):
La 0.000 0.000 0.500
Ga 0.500 0.500 0.738
Ga 0.500 0.500 0.262
H 0.000 0.000 0.000
Ru 0.500 0.000 0.000
Ru 0.000 0.500 0.000

Crystal system ... tetragonal
Fermi-level density of states ... 0.756 states/eV per atom
Total DFT energy (no corrections) ... -5.9196 eV/atom
Space group ... P4/mmm, No. 123



VASP calculation (PBE) on an optimized crystal structure of Ho4Re.

Cell: 5.407 5.407 5.407 Å, 90.00 90.00 90.00°
Positions (direct):
Re 0.500 0.500 0.500
Ho 0.000 0.000 0.000
Ho 0.500 0.000 0.500
Ho 0.000 0.500 0.500
Ho 0.500 0.500 0.000

Energy of formation ... 0.286 eV per atom
Crystal system ... cubic
Fermi-level density of states ... 1.311 states/eV per atom
Space group ... Pm-3m, No. 221